# PBE Zr3Rh2, relaxed
# * Fermi-level density of states: 5.035 states/eV/f.u.
# * polymorph energy (0 for the lowest one): 131 meV/atom
# * magnetization: 0.0 μB/f.u.
# * energy relative to the elements: -496 meV/atom
data_Zr3Rh2
_chemical_formula_sum 'Zr6 Rh4'
_symmetry_space_group_name_H-M 'P 1'
_symmetry_Int_Tables_number 1
_symmetry_space_group_name_Hall 'P 1'
_cell_length_a 7.573
_cell_length_b 5.557
_cell_length_c 8.483
_cell_angle_alpha 61.15
_cell_angle_beta 40.00
_cell_angle_gamma 78.86
loop_
_atom_site_label
_atom_site_fract_x
_atom_site_fract_y
_atom_site_fract_z
_atom_site_occupancy
Zr1 0.000 0.000 0.000 1
Zr2 0.250 0.250 0.250 1
Zr3 0.411 0.602 0.363 1
Zr4 0.602 0.411 0.624 1
Zr5 0.626 0.887 0.648 1
Zr6 0.887 0.626 0.839 1
Rh1 0.035 0.452 0.072 1
Rh2 0.178 0.809 0.215 1
Rh3 0.452 0.035 0.441 1
Rh4 0.809 0.178 0.798 1